First-principles (GGA+U) data for a relaxed structure of Hf2TaCoO, as listed in the Alexandria database.

a = 4.8109 Å, b = 4.8109 Å, c = 4.3499 Å
α = 90.00°, β = 90.00°, γ = 90.00°
Sites, in units of the cell vectors:
1 Hf 0.0000 0.5000 0.0000
2 Hf 0.5000 0.0000 0.0000
3 Ta 0.0000 0.0000 0.5000
4 Co 0.0000 0.0000 0.0000
5 O 0.5000 0.5000 0.5000

Computed properties:
Its crystal system is tetragonal. The energy is -37.7 eV per formula unit.